{"formula": "FeMo3", "functional": "PBEsol", "state": "optimized geometry", "e_form_ev_per_atom": 0.079, "sg": "Cmmm (65)", "lattice_angstrom": [[-1.3677, 1.3422, -1.8308], [1.4273, -1.8549, -1.2435], [-6.4598, -5.5018, 0.7923]], "species": ["Mo", "Mo", "Mo", "Fe"], "fractional_positions": [[0.5000, 0.5000, 0.7631], [0.0000, 0.0000, 0.5000], [0.5000, 0.5000, 0.2369], [0.0000, 0.0000, 0.0000]]}